# Sc3IrS

Sc3IrS at its PBEsol-relaxed geometry (meta-GGA SCAN, the Alexandria database).

Unit cell a=4.630 b=4.630 c=4.630 alpha=90.00 beta=90.00 gamma=90.00
Atoms (fractional coordinates):
Sc1 0.000 0.000 0.500
Sc2 0.000 0.500 0.000
Sc3 0.500 0.000 0.000
Ir1 0.500 0.500 0.500
S1 0.000 0.000 0.000

Energy above the lowest structure with this stoichiometry in meV per atom: 0
Volume in Å³ per cell: 99.3
Total magnetization in μB per cell: 0.0
Raw formation energy in eV per formula unit: -3.28